# Al2Ga2Bi2O9 | Alexandria via LeMat-Bulk | SCAN | PBEsol geometry
data_Al2Ga2Bi2O9
_chemical_formula_sum 'Al4 Ga4 Bi4 O18'
_cell_length_a 7.7680
_cell_length_b 8.2989
_cell_length_c 5.8513
_cell_angle_alpha 90.00
_cell_angle_beta 90.00
_cell_angle_gamma 90.00
_symmetry_space_group_name_H-M 'P b a m'
_symmetry_Int_Tables_number 55
loop_
_symmetry_equiv_pos_as_xyz
'x,y,z'
'-x,-y,-z'
'-x,-y,z'
'x,y,-z'
'x+1/2,-y+1/2,-z'
'-x+1/2,y+1/2,z'
'-x+1/2,y+1/2,-z'
'x+1/2,-y+1/2,z'
loop_
_atom_site_label
_atom_site_fract_x
_atom_site_fract_y
_atom_site_fract_z
Al1 0.1439 0.1605 0.0000
Ga1 0.0000 0.5000 0.2392
Bi1 0.1716 0.8262 0.5000
O1 0.0000 0.0000 0.0000
O2 0.1248 0.2855 0.2508
O3 0.1412 0.5904 0.0000
O4 0.1531 0.5618 0.5000
# Uncorrected formation energy ... -2.1955 eV per atom
# Raw total energy ... -19.6246 eV/atom
# Magnetic moment ... 0.00 μB/cell


# SiMoSCl2 | Alexandria via LeMat-Bulk | SCAN | PBEsol geometry
data_SiMoSCl2
_chemical_formula_sum 'Si1 Mo1 S1 Cl2'
_cell_length_a 4.7472
_cell_length_b 4.7472
_cell_length_c 4.6106
_cell_angle_alpha 90.00
_cell_angle_beta 90.00
_cell_angle_gamma 90.00
_symmetry_space_group_name_H-M 'P 4/m m m'
_symmetry_Int_Tables_number 123
_symmetry_space_group_name_Hall '-P 4 2'
loop_
_atom_site_label
_atom_site_fract_x
_atom_site_fract_y
_atom_site_fract_z
Si1 0.0000 0.0000 0.0000
Mo1 0.5000 0.5000 0.5000
S1 0.5000 0.5000 0.0000
Cl1 0.0000 0.5000 0.5000
# Uncorrected formation energy ... 0.2479 eV per atom
# Raw total energy ... -13.8490 eV/atom
# Magnetic moment ... 2.83 μB/cell


# Li5In3 | Alexandria via LeMat-Bulk | SCAN | PBEsol geometry
data_Li5In3
_chemical_formula_sum 'Li20 In12'
_cell_length_a 10.7404
_cell_length_b 10.7404
_cell_length_c 5.3767
_cell_angle_alpha 90.00
_cell_angle_beta 90.00
_cell_angle_gamma 90.00
_symmetry_space_group_name_H-M 'I 4/m c m'
_symmetry_Int_Tables_number 140
_symmetry_space_group_name_Hall '-I 4 2c'
loop_
_atom_site_label
_atom_site_fract_x
_atom_site_fract_y
_atom_site_fract_z
Li1 0.0000 0.5000 0.2500
Li2 0.0734 0.2310 0.0000
In1 0.0000 0.0000 0.2500
In2 0.1726 0.3274 0.5000
# Raw total energy ... -14.2996 eV/atom
# E_form ... -0.286 eV per atom
# Magnetic moment ... 0.00 μB/cell


# KCeSiS4 | Alexandria via LeMat-Bulk | SCAN | PBEsol geometry
data_KCeSiS4
_chemical_formula_sum 'K2 Ce2 Si2 S8'
_cell_length_a 6.4166
_cell_length_b 6.4710
_cell_length_c 8.6740
_cell_angle_alpha 90.00
_cell_angle_beta 107.51
_cell_angle_gamma 90.00
_symmetry_space_group_name_H-M 'P 1 21/m 1'
_symmetry_Int_Tables_number 11
loop_
_symmetry_equiv_pos_as_xyz
'x,y,z'
'-x,-y,-z'
'-x,y+1/2,-z'
'x,-y+1/2,z'
loop_
_atom_site_label
_atom_site_fract_x
_atom_site_fract_y
_atom_site_fract_z
K1 0.2271 0.2500 0.4337
Ce1 0.2704 0.2500 0.9499
Si1 0.2872 0.7500 0.1853
S1 0.0869 0.7500 0.3371
S2 0.1046 0.7500 0.9351
S3 0.4955 0.5055 0.7745
# Uncorrected formation energy ... -1.6257 eV per atom
# Raw total energy ... -16.1143 eV/atom
# Magnetic moment ... 2.00 μB/cell


# KSmH2S2O9 | Alexandria via LeMat-Bulk | SCAN | PBEsol geometry
data_KSmH2S2O9
_chemical_formula_sum 'K4 Sm4 H8 S8 O36'
_cell_length_a 9.9978
_cell_length_b 8.3610
_cell_length_c 10.1905
_cell_angle_alpha 90.00
_cell_angle_beta 118.85
_cell_angle_gamma 90.00
_symmetry_space_group_name_H-M 'P 1 21/c 1'
_symmetry_Int_Tables_number 14
loop_
_symmetry_equiv_pos_as_xyz
'x,y,z'
'-x,-y,-z'
'-x,y+1/2,-z+1/2'
'x,-y+1/2,z+1/2'
loop_
_atom_site_label
_atom_site_fract_x
_atom_site_fract_y
_atom_site_fract_z
K1 0.2111 0.1805 0.1872
Sm1 0.2670 0.6611 0.0370
H1 0.2722 0.5185 0.4220
H2 0.4046 0.0070 0.0902
S1 0.0499 0.6304 0.1780
S2 0.4818 0.6866 0.8956
O1 0.0546 0.7462 0.0690
O2 0.0663 0.7130 0.3128
O3 0.0983 0.0462 0.3918
O4 0.1811 0.5186 0.2186
O5 0.3039 0.5451 0.5286
O6 0.3290 0.6089 0.8356
O7 0.4048 0.0794 0.6112
O8 0.4667 0.6720 0.2997
O9 0.4729 0.2368 0.4494
# Raw total energy ... -11.1033 eV/atom
# Magnetic moment ... 0.00 μB/cell


# Li3AlMo2As2O14 | Alexandria via LeMat-Bulk | SCAN | PBEsol geometry
data_Li3AlMo2As2O14
_chemical_formula_sum 'Li3 Al1 Mo2 As2 O14'
_cell_length_a 5.1835
_cell_length_b 5.4165
_cell_length_c 9.4266
_cell_angle_alpha 96.58
_cell_angle_beta 101.80
_cell_angle_gamma 106.47
_symmetry_space_group_name_H-M 'P -1'
_symmetry_Int_Tables_number 2
loop_
_symmetry_equiv_pos_as_xyz
'x,y,z'
'-x,-y,-z'
loop_
_atom_site_label
_atom_site_fract_x
_atom_site_fract_y
_atom_site_fract_z
Li1 0.0000 0.0000 0.0000
Li2 0.1861 0.8829 0.3170
Al1 0.5000 0.5000 0.5000
Mo1 0.4960 0.3371 0.8543
As1 0.1554 0.7253 0.6755
O1 0.1266 0.3062 0.4633
O2 0.1341 0.4754 0.7708
O3 0.1574 0.0044 0.7905
O4 0.2808 0.8341 0.0922
O5 0.3222 0.3361 0.0366
O6 0.4423 0.6340 0.3229
O7 0.4441 0.7971 0.6070
# Uncorrected formation energy ... -2.1197 eV per atom
# Raw total energy ... -11.7702 eV/atom
# Magnetic moment ... 0.00 μB/cell


Q: Among the records above, which one has the highest raw total energy?
A: KSmH2S2O9


Q: Look up the raw total energy of the third one.
A: -14.2996 eV/atom